No. 1
Here is a geometry-optimized KAlH3 structure from Alexandria. Energies are from PBE.

Calculated values
Calculated density ... 1.29 g/cm3
Distance to the lowest polymorph of the same formula ... 0 meV per atom
Symmetry ... No. 44

Lattice parameters (Å, degrees): 4.683 7.233 6.784 122.21 110.17 90.01
Sites, in units of the cell vectors:
1 K 0.721 0.651 0.112
2 K 0.346 0.276 0.361
3 Al 0.938 0.782 0.737
4 Al 0.938 0.145 0.737
5 H 0.198 0.375 0.996
6 H 0.199 0.812 0.996
7 H 0.939 0.115 0.477
8 H 0.608 0.703 0.737
9 H 0.607 0.224 0.737
10 H 0.940 0.552 0.477

---

No. 2
Here is a geometry-optimized CdHgBi2Ir structure from Alexandria. Energies are from PBE.

Calculated values
Calculated density ... 9.78 g/cm3
Formation energy from the elements ... 1107 meV per atom
Symmetry ... No. 123

Lattice parameters (Å, degrees): 5.570 5.051 5.570 90.00 90.00 90.00
Sites, in units of the cell vectors:
1 Cd 0.000 0.000 0.000
2 Ir 0.000 0.500 0.000
3 Bi 0.000 0.000 0.500
4 Bi 0.500 0.000 0.000
5 Hg 0.500 0.500 0.500

---

No. 3
Here is a geometry-optimized IrPtRh4 structure from Alexandria. Energies are from PBE.

Calculated values
Calculated density ... 14.48 g/cm3
Distance to the lowest polymorph of the same formula ... 317 meV per atom
Formation energy from the elements ... 497 meV per atom
Symmetry ... No. 216

Lattice parameters (Å, degrees): 5.060 5.060 5.060 60.00 60.00 60.00
Last column: magnetic moment on the atom in μB.
Sites, in units of the cell vectors:
1 Ir 0.750 0.750 0.750  0.66
2 Pt 0.000 0.000 0.000  0.20
3 Rh 0.875 0.375 0.375  0.29
4 Rh 0.375 0.375 0.875  0.29
5 Rh 0.375 0.875 0.375  0.29
6 Rh 0.375 0.375 0.375  0.29

---

No. 4
Here is a geometry-optimized Tb6GaSi2 structure from Alexandria. Energies are from PBE.

Calculated values
Formation energy (no corrections) ... -0.54 eV/atom
Calculated density ... 7.69 g/cm3
Symmetry ... No. 71

Lattice parameters (Å, degrees): 8.465 8.465 8.465 106.45 110.35 111.66
Sites, in units of the cell vectors:
1 Tb 0.552 0.732 0.820
2 Tb 0.448 0.268 0.180
3 Tb 0.089 0.268 0.820
4 Tb 0.911 0.732 0.180
5 Tb 0.801 0.756 0.557
6 Tb 0.199 0.244 0.443
7 Tb 0.199 0.756 0.955
8 Tb 0.801 0.244 0.045
9 Tb 0.707 0.383 0.676
10 Tb 0.293 0.617 0.324
11 Tb 0.293 0.969 0.676
12 Tb 0.707 0.031 0.324
13 Ga 0.000 0.500 0.500
14 Ga 0.000 0.000 0.000
15 Si 0.500 0.383 0.883
16 Si 0.500 0.617 0.117
17 Si 0.632 0.000 0.632
18 Si 0.368 0.000 0.368

---

No. 5
Here is a geometry-optimized Ho3Te2As structure from Alexandria. Energies are from PBE.

Calculated values
Formation energy (no corrections) ... -1.39 eV/atom
Calculated density ... 8.33 g/cm3
Distance to the lowest polymorph of the same formula ... 14 meV per atom
Symmetry ... No. 71

Lattice parameters (Å, degrees): 4.205 5.988 7.486 113.57 106.31 90.00
Sites, in units of the cell vectors:
1 Ho 0.856 0.356 0.212
2 Ho 0.144 0.644 0.788
3 Ho 0.500 0.000 0.500
4 Te 0.826 0.826 0.152
5 Te 0.174 0.174 0.848
6 As 0.500 0.500 0.500

---

No. 6
Here is a geometry-optimized Ba2NbReTc structure from Alexandria. Energies are from PBE.

Calculated values
Calculated density ... 6.43 g/cm3
Formation energy from the elements ... 1761 meV per atom
Symmetry ... No. 123

Lattice parameters (Å, degrees): 5.983 4.702 5.983 90.00 90.00 90.00
Last column: magnetic moment on the atom in μB.
Sites, in units of the cell vectors:
1 Re 0.500 0.500 0.500  3.04
2 Nb 0.000 0.500 0.000  0.43
3 Ba 0.000 0.000 0.500  0.00
4 Ba 0.500 0.000 0.000  -0.02
5 Tc 0.000 0.000 0.000  -0.22

---

Values of VASP energy, in order: -31.684, -12.305, -41.325, -93.076, -33.027, -27.926, all in eV/cell.